(1)
DFT (PBE) results for a relaxed Mg3HgO4 crystal.

Properties
Formation energy (no corrections) = -2.023 eV/atom
E = -0.37762 Ry per atom

Unit cell a=6.804 b=5.883 c=5.432 alpha=90.00 beta=90.00 gamma=90.00
Space group Pmn2_1 (No. 31)
Symmetry-distinct sites (fractional):
Mg (0.000, 0.175, 0.000)
Mg (0.249, 0.664, 0.001)
Hg (0.000, 0.835, 0.506)
O (0.000, 0.208, 0.634)
O (0.000, 0.841, 0.073)
O (0.224, 0.350, 0.135)

=====

(2)
DFT (PBE) results for a relaxed Mg2HgO2 crystal.

Properties
Formation energy (no corrections) = -1.838 eV/atom
E = -0.33215 Ry per atom
Polymorph energy (0 for the lowest one) = 0 meV/atom

Unit cell a=4.012 b=4.012 c=13.253 alpha=90.00 beta=90.00 gamma=90.00
Space group I4/mmm (No. 139)
Symmetry-distinct sites (fractional):
Mg (0.000, 0.000, 0.250)
Hg (0.000, 0.000, 0.000)
O (0.000, 0.500, 0.250)

=====

(3)
DFT (PBE) results for a relaxed MgHgO2 crystal.

Properties
Formation energy (no corrections) = -1.359 eV/atom
E = -0.31696 Ry per atom

Unit cell a=5.750 b=3.583 c=10.867 alpha=90.00 beta=90.00 gamma=90.00
Space group Pnma (No. 62)
Symmetry-distinct sites (fractional):
Mg (0.003, 0.250, 0.118)
Hg (0.019, 0.750, 0.364)
O (0.132, 0.250, 0.935)
O (0.186, 0.750, 0.708)

=====

(4)
DFT (PBE) results for a relaxed MgHgO2 crystal.

Properties
Formation energy (no corrections) = -1.347 eV/atom
E = -0.31607 Ry per atom

Unit cell a=7.562 b=11.197 c=10.625 alpha=90.00 beta=100.11 gamma=90.00
Space group C2/c (No. 15)
Symmetry-distinct sites (fractional):
Mg (0.036, 0.084, 0.112)
Mg (0.207, 0.327, 0.382)
Hg (0.109, 0.272, 0.880)
Hg (0.167, 0.485, 0.131)
O (0.000, 0.033, 0.750)
O (0.000, 0.408, 0.250)
O (0.060, 0.236, 0.493)
O (0.201, 0.017, 0.523)
O (0.222, 0.190, 0.246)

=====

(5)
DFT (PBE) results for a relaxed MgHgO crystal.

Properties
Formation energy (no corrections) = -1.506 eV/atom
E = -0.27859 Ry per atom
Polymorph energy (0 for the lowest one) = 35 meV/atom

Unit cell a=2.846 b=5.734 c=6.971 alpha=89.98 beta=79.93 gamma=90.00
Space group P1 (No. 1)
Symmetry-distinct sites (fractional):
Mg (0.000, 0.000, 0.000)
Mg (0.000, 0.500, 0.000)
Hg (0.296, 0.246, 0.448)
Hg (0.677, 0.746, 0.552)
O (0.500, 0.250, 0.999)
O (0.500, 0.750, 0.001)

=====

(6)
DFT (PBE) results for a relaxed MgHgO2 crystal.

Properties
Formation energy (no corrections) = -1.093 eV/atom
E = -0.29741 Ry per atom

Unit cell a=3.449 b=16.595 c=3.938 alpha=90.00 beta=90.00 gamma=90.00
Space group Cmcm (No. 63)
Symmetry-distinct sites (fractional):
Mg (0.000, 0.065, 0.250)
Hg (0.000, 0.323, 0.250)
O (0.000, 0.058, 0.750)
O (0.000, 0.186, 0.250)

=====

(7)
DFT (PBE) results for a relaxed Mg3HgO crystal.

Properties
Formation energy (no corrections) = -1.031 eV/atom
E = -0.22343 Ry per atom
Polymorph energy (0 for the lowest one) = 0 meV/atom

Unit cell a=4.337 b=4.337 c=4.337 alpha=90.00 beta=90.00 gamma=90.00
Space group Pm-3m (No. 221)
Symmetry-distinct sites (fractional):
Mg (0.000, 0.000, 0.500)
Hg (0.500, 0.500, 0.500)
O (0.000, 0.000, 0.000)

=====

(8)
DFT (PBE) results for a relaxed MgHgO2 crystal.

Properties
Formation energy (no corrections) = -0.787 eV/atom
E = -0.27489 Ry per atom

Unit cell a=5.784 b=5.784 c=5.784 alpha=90.00 beta=90.00 gamma=90.00
Space group Fm-3m (No. 225)
Symmetry-distinct sites (fractional):
Mg (0.000, 0.000, 0.000)
Hg (0.000, 0.000, 0.500)
O (0.250, 0.250, 0.250)

=====

(9)
DFT (PBE) results for a relaxed MgHgO crystal.

Properties
Formation energy (no corrections) = -1.492 eV/atom
E = -0.27758 Ry per atom
Polymorph energy (0 for the lowest one) = 49 meV/atom

Unit cell a=3.3343 b=3.3343 c=6.3555 alpha=90.00 beta=90.00 gamma=120.00
Space group P-6m2 (No. 187)
Symmetry-distinct sites (fractional):
Mg (0.0000, 0.0000, 0.0000)
Hg (0.3333, 0.6667, 0.5000)
O (0.6667, 0.3333, 0.0000)

=====

(10)
DFT (PBE) results for a relaxed MgHg3O crystal.

Properties
Formation energy (no corrections) = 0.209 eV/atom
E = -0.09430 Ry per atom
Polymorph energy (0 for the lowest one) = 0 meV/atom

Unit cell a=4.886 b=4.886 c=4.886 alpha=90.00 beta=90.00 gamma=90.00
Space group Pm-3m (No. 221)
Symmetry-distinct sites (fractional):
Mg (0.000, 0.000, 0.000)
Hg (0.000, 0.500, 0.500)
O (0.500, 0.500, 0.500)

=====

(11)
DFT (PBE) results for a relaxed MgHgO crystal.

Properties
Formation energy (no corrections) = -1.541 eV/atom
E = -0.28118 Ry per atom
Polymorph energy (0 for the lowest one) = 0 meV/atom

Unit cell a=3.945 b=3.947 c=8.329 alpha=90.04 beta=90.32 gamma=90.00
Space group P1 (No. 1)
Symmetry-distinct sites (fractional):
Mg (0.000, 0.000, 0.000)
Mg (0.500, 0.500, 0.000)
Hg (0.010, 0.491, 0.383)
Hg (0.513, 0.992, 0.618)
O (0.000, 0.500, 0.956)
O (0.501, 0.000, 0.045)

=====

(12)
DFT (PBE) results for a relaxed MgHgO2 crystal.

Properties
Formation energy (no corrections) = -1.448 eV/atom
E = -0.32348 Ry per atom

Unit cell a=12.618 b=3.197 c=5.817 alpha=90.00 beta=111.11 gamma=90.00
Space group C2/c (No. 15)
Symmetry-distinct sites (fractional):
Mg (0.250, 0.250, 0.000)
Hg (0.000, 0.000, 0.000)
O (0.161, 0.234, 0.602)